Crystalline Na2GaI at its relaxed geometry. Source: the Alexandria database, functional PBE.

```
data_Na2GaI
_symmetry_space_group_name_H-M 'F m -3 m'
_symmetry_Int_Tables_number 225
_symmetry_space_group_name_Hall '-F 4 2 3'
_cell_length_a 7.874
_cell_length_b 7.874
_cell_length_c 7.874
_cell_angle_alpha 90.00
_cell_angle_beta 90.00
_cell_angle_gamma 90.00
loop_
_atom_site_label
_atom_site_type_symbol
_atom_site_fract_x
_atom_site_fract_y
_atom_site_fract_z
Na1 Na 0.250 0.250 0.250
Ga1 Ga 0.000 0.000 0.000
I1 I 0.000 0.000 0.500
```

## Properties
- ΔE to the lowest computed polymorph: 84.0 meV per atom
- E: -2.0129 eV per atom
- Theoretical density: 3.3 g/cm³